No. 1
Material: SbIr2N
Method: DFT, PBE
State: optimized geometry

```
SbIr2N
1.0
-2.5064 2.5064 5.6087
2.5064 -2.5064 5.6087
2.5064 2.5064 -5.6087
Sb Ir N
2 4 2
direct
0.0000 0.0000 0.0000 Sb
0.7500 0.2500 0.5000 Sb
0.2384 0.6250 0.1134 Ir
0.3750 0.4884 0.6134 Ir
0.5116 0.1250 0.8866 Ir
0.8750 0.7616 0.3866 Ir
0.2500 0.7500 0.5000 N
0.5000 0.5000 0.0000 N
```

* offset from the most stable computed form: 0 meV/atom
* formation energy from raw total energies: 0.32 eV per atom
* symmetry: I-42d

---

No. 2
Material: PrErAgRu
Method: DFT, PBE
State: optimized geometry

```
PrErAgRu
1.0
3.4650 0.0000 0.0000
0.0000 3.4650 0.0000
0.0000 0.0000 7.6575
Pr Er Ag Ru
1 1 1 1
direct
0.0000 0.0000 0.0000 Pr
0.0000 0.0000 0.5542 Er
0.5000 0.5000 0.3012 Ag
0.5000 0.5000 0.7610 Ru
```

* offset from the most stable computed form: 0 meV/atom
* symmetry: P4mm

---

No. 3
Material: Tl2IF
Method: DFT, PBE
State: optimized geometry

```
Tl2IF
1.0
0.0000 3.9706 3.9706
3.9706 0.0000 3.9706
3.9706 3.9706 0.0000
Tl I F
2 1 1
direct
0.2500 0.2500 0.2500 Tl
0.7500 0.7500 0.7500 Tl
0.0000 0.0000 0.0000 I
0.5000 0.5000 0.5000 F
```

* offset from the most stable computed form: 242 meV/atom
* formation energy from raw total energies: -0.96 eV per atom
* symmetry: Fm-3m

---

No. 4
Material: Pm2SmBiC
Method: DFT, PBE
State: optimized geometry

```
Pm2SmBiC
1.0
5.0852 0.0000 0.0000
0.0000 5.0852 0.0000
0.0000 0.0000 5.0496
Pm Sm Bi C
2 1 1 1
direct
0.0000 0.5000 0.0000 Pm
0.5000 0.0000 0.0000 Pm
0.0000 0.0000 0.5000 Sm
0.5000 0.5000 0.5000 Bi
0.0000 0.0000 0.0000 C
```

* symmetry: P4/mmm

---

No. 5
Material: Tl2AgGe2
Method: DFT, PBE
State: optimized geometry

```
Tl2AgGe2
1.0
6.8320 0.0000 0.0000
0.0000 6.8320 0.0000
0.0000 0.0000 5.2402
Tl Ag Ge
4 2 4
direct
0.1767 0.3233 0.0000 Tl
0.3233 0.8233 0.0000 Tl
0.6767 0.1767 0.0000 Tl
0.8233 0.6767 0.0000 Tl
0.0000 0.0000 0.5000 Ag
0.5000 0.5000 0.5000 Ag
0.1337 0.6337 0.5000 Ge
0.3663 0.1337 0.5000 Ge
0.6337 0.8663 0.5000 Ge
0.8663 0.3663 0.5000 Ge
```

* offset from the most stable computed form: 0 meV/atom
* symmetry: P4/mbm

---

No. 6
Material: TbYAg2S4
Method: DFT, PBE
State: optimized geometry

```
TbYAg2S4
1.0
6.6380 0.0000 0.0000
0.0000 4.0281 0.0000
-2.6075 0.0000 6.4981
Tb Y Ag S
1 1 2 4
direct
0.0000 0.0000 0.0000 Tb
0.0000 0.5000 0.5000 Y
0.5000 0.0000 0.5000 Ag
0.5000 0.5000 0.0000 Ag
0.2409 0.0000 0.7514 S
0.2409 0.5000 0.2526 S
0.7591 0.0000 0.2486 S
0.7591 0.5000 0.7474 S
```

* formation energy from raw total energies: -1.28 eV per atom
* symmetry: P2/m

---

No. 7
Material: Ac2CeTa
Method: DFT, PBE
State: optimized geometry

```
Ac2CeTa
1.0
1.7222 0.9943 12.4154
-1.7222 0.9943 12.4154
0.0000 -1.9886 12.4154
Ac Ce Ta
2 1 1
direct
0.0816 0.0816 0.0816 Ac
0.9184 0.9184 0.9184 Ac
0.5000 0.5000 0.5000 Ce
0.0000 0.0000 0.0000 Ta
```

* symmetry: R-3m

---

No. 8
Material: SiTePb
Method: DFT, PBE
State: optimized geometry

```
SiTePb
1.0
0.0000 3.5224 3.5224
3.5224 0.0000 3.5224
3.5224 3.5224 0.0000
Si Te Pb
1 1 1
direct
0.0000 0.0000 0.0000 Si
0.2500 0.2500 0.2500 Te
0.7500 0.7500 0.7500 Pb
```

* offset from the most stable computed form: 216 meV/atom
* formation energy from raw total energies: 0.41 eV per atom
* symmetry: F-43m

---

Ρ for the records above, in order: 12.26; 9.34; 7.36; 8.41; 8.99; 5.66; 10.09; 6.89 g/cm3
D(E_F) for the records above, in order: 3.49; 2.57; 0.00; 3.15; 5.03; 0.00; 9.37; 4.43 states/eV per cell
Final energy for the records above, in order: -28.876; -22.770; -12.011; -29.697; -15.958; -43.560; -22.328; -11.046 eV per formula unit